(1)
Entry from the Alexandria database: a relaxed structure of UV2W (PBE).

Output
Raw total energy = -41.8 eV for the cell shown
Formation enthalpy at 0 K = 17.2 kJ/mol of atoms
Total magnetization = 0.00 μB per formula unit
SG = Fm-3m (225)

POSCAR file:
```
UV2W
1.0
4.4836 0.0000 0.0000
2.2418 3.8829 0.0000
2.2418 1.2943 3.6608
W V U
1 2 1
Direct
0.5000 0.5000 0.5000
0.7500 0.7500 0.7500
0.2500 0.2500 0.2500
0.0000 0.0000 0.0000
```

(2)
Entry from the Alexandria database: a relaxed structure of Co2BC (PBE).

Output
Raw total energy = -55.9 eV for the cell shown
Formation enthalpy at 0 K = 51.8 kJ/mol of atoms
Total magnetization = 0.00 μB per formula unit
SG = I-42d (122)

POSCAR file:
```
Co2BC
1.0
4.3672 0.0000 0.0000
0.0000 4.3672 0.0000
2.1836 2.1836 4.2703
B C Co
2 2 4
Direct
0.2500 0.7500 0.5000
0.5000 0.5000 0.0000
0.0000 0.0000 0.0000
0.7500 0.2500 0.5000
0.8750 0.8949 0.7500
0.3750 0.3551 0.7500
0.6449 0.1250 0.2500
0.1051 0.6250 0.2500
```

(3)
Entry from the Alexandria database: a relaxed structure of Pm8Nd2Er3 (PBE).

Output
Raw total energy = -58.5 eV for the cell shown
Formation enthalpy at 0 K = 20.0 kJ/mol of atoms
Total magnetization = 0.00 μB per formula unit
SG = C2/m (12)

POSCAR file:
```
Pm8Nd2Er3
1.0
-0.1959 -0.6942 5.6249
1.9710 -7.3959 -0.8442
9.0174 6.2878 1.0871
Pm Er Nd
8 3 2
Direct
0.5001 0.8092 0.2074
0.9996 0.1291 0.2582
0.4999 0.1908 0.7926
0.9994 0.3313 0.6627
0.0006 0.6687 0.3373
0.4999 0.6017 0.7926
0.0004 0.8709 0.7418
0.5001 0.3983 0.2074
0.5000 0.0000 0.0000
0.0000 0.7146 0.0000
0.0000 0.2854 0.0000
0.4991 0.2399 0.4798
0.5009 0.7601 0.5202
```

(4)
Entry from the Alexandria database: a relaxed structure of AgPdSN2 (PBE).

Output
Raw total energy = -21.8 eV for the cell shown
Energy relative to the elements, uncorrected = 1403 meV/atom
Total magnetization = 3.76 μB per formula unit
SG = P4/mmm (123)

POSCAR file:
```
AgPdSN2
1.0
3.9435 0.0000 0.0000
0.0000 3.9435 0.0000
0.0000 0.0000 5.2900
N Pd Ag S
2 1 1 1
Direct
0.5000 0.0000 0.0000
0.0000 0.5000 0.0000
0.0000 0.0000 0.0000
0.5000 0.5000 0.5000
0.0000 0.0000 0.5000
```

Q: The lowest raw total energy belongs to which entry?
A: Pm8Nd2Er3